1.
Li2AgHO | PBE | optimized geometry

Values from the calculation:
M_tot (Bohr magnetons per cell): 0.00
Calculated density (g/cm3): 3.7
Raw total energy (eV/cell): -18.1

a = 3.6534 Å, b = 3.6534 Å, c = 4.6739 Å
α = 90.00°, β = 90.00°, γ = 90.00°
With the nearest neighbours (Å) after each atom.
Space group P4/mmm (No. 123)
One atom of each set of equivalent atoms:
1 Li 0.0000 0.5000 0.0000  2 O 1.83
2 Ag 0.0000 0.0000 0.5000  2 O 2.34, 4 H 2.58
3 H 0.5000 0.5000 0.5000  4 Ag 2.58
4 O 0.0000 0.0000 0.0000  4 Li 1.83

2.
LiAg2P3H2O10 | PBE | optimized geometry

Values from the calculation:
M_tot (Bohr magnetons per cell): 0.00
Calculated density (g/cm3): 3.5
Raw total energy (eV/cell): -220.2

a = 7.7366 Å, b = 7.8370 Å, c = 8.4786 Å
α = 73.68°, β = 74.14°, γ = 71.26°
With the nearest neighbours (Å) after each atom.
Space group P-1 (No. 2)
One atom of each set of equivalent atoms:
1 Li 0.2045 0.4019 0.1704  4 O 1.95-2.02
2 Ag 0.0616 0.8507 0.9047  2 O 2.29-2.31
3 Ag 0.2038 0.0781 0.5205  5 O 2.44-2.65
4 P 0.2105 0.6075 0.5952  4 O 1.50-1.63
5 P 0.2561 0.7583 0.2295  4 O 1.51-1.60
6 P 0.3311 0.2435 0.8284  4 O 1.50-1.62
7 H 0.4921 0.2665 0.3255  1 O 0.99
8 H 0.4988 0.1150 0.2395  1 O 1.00
9 O 0.0046 0.6304 0.6418  1 P 1.50
10 O 0.1195 0.9335 0.2743  1 P 1.51
11 O 0.2016 0.3195 0.9744  1 P 1.50
12 O 0.2146 0.6672 0.1141  1 P 1.51
13 O 0.2867 0.6042 0.3972  2 P 1.60-1.63
14 O 0.2867 0.7390 0.6403  1 P 1.51
15 O 0.3135 0.0725 0.7929  1 P 1.51
16 O 0.3250 0.3980 0.6566  2 P 1.61
17 O 0.4091 0.2220 0.2851  2 H 0.99-1.00
18 O 0.4571 0.7953 0.1504  2 P 1.60-1.62

3.
Li2AgHPb | PBE | optimized geometry

Values from the calculation:
M_tot (Bohr magnetons per cell): 0.00
Energy relative to the lowest polymorph listed for this composition (eV per atom): 0.080
Calculated density (g/cm3): 6.6
Raw total energy (eV/cell): -14.2

a = 4.2038 Å, b = 4.2038 Å, c = 4.6654 Å
α = 90.00°, β = 90.00°, γ = 90.00°
With the nearest neighbours (Å) after each atom.
Space group P4/mmm (No. 123)
One atom of each set of equivalent atoms:
1 Li 0.0000 0.5000 0.0000  2 H 2.10
2 Ag 0.0000 0.0000 0.5000  4 Pb 2.97, 8 Li 3.14
3 H 0.5000 0.5000 0.0000  4 Li 2.10, 2 Pb 2.33
4 Pb 0.5000 0.5000 0.5000  2 H 2.33

4.
LiAg2HPb | PBE | optimized geometry

Values from the calculation:
M_tot (Bohr magnetons per cell): 0.00
Calculated density (g/cm3): 8.8
Raw total energy (eV/cell): -14.5

a = 4.2634 Å, b = 4.2634 Å, c = 4.4805 Å
α = 90.00°, β = 90.00°, γ = 90.00°
With the nearest neighbours (Å) after each atom.
Space group P4/mmm (No. 123)
One atom of each set of equivalent atoms:
1 Li 0.0000 0.0000 0.0000  2 H 2.24
2 Ag 0.0000 0.5000 0.5000  2 H 2.13
3 H 0.0000 0.0000 0.5000  4 Ag 2.13, 2 Li 2.24
4 Pb 0.5000 0.5000 0.0000  4 Li 3.01, 8 Ag 3.09

5.
Li2AgHPb | PBE | optimized geometry

Values from the calculation:
M_tot (Bohr magnetons per cell): 0.00
Energy relative to the lowest polymorph listed for this composition (eV per atom): 0.000
Calculated density (g/cm3): 7.1
Raw total energy (eV/cell): -14.5

a = 4.4348 Å, b = 4.4348 Å, c = 3.9096 Å
α = 90.00°, β = 90.00°, γ = 90.00°
With the nearest neighbours (Å) after each atom.
Space group P4/mmm (No. 123)
One atom of each set of equivalent atoms:
1 Li 0.0000 0.5000 0.0000  2 H 2.22
2 Ag 0.0000 0.0000 0.5000  2 H 1.95
3 H 0.0000 0.0000 0.0000  2 Ag 1.95
4 Pb 0.5000 0.5000 0.5000  8 Li 2.96, 4 Ag 3.14

6.
LiAg2HPd | PBE | optimized geometry

Values from the calculation:
M_tot (Bohr magnetons per cell): 0.00
Energy relative to the lowest polymorph listed for this composition (eV per atom): 0.071
Calculated density (g/cm3): 8.1
Raw total energy (eV/cell): -16.4

a = 4.0409 Å, b = 4.0409 Å, c = 4.1205 Å
α = 90.00°, β = 90.00°, γ = 90.00°
With the nearest neighbours (Å) after each atom.
Space group P4/mmm (No. 123)
One atom of each set of equivalent atoms:
1 Li 0.0000 0.0000 0.0000  2 H 2.06
2 Ag 0.0000 0.5000 0.5000  2 H 2.02
3 H 0.0000 0.0000 0.5000  4 Ag 2.02, 2 Li 2.06
4 Pd 0.5000 0.5000 0.0000  4 Li 2.86, 8 Ag 2.89

7.
LiAgHPd | PBE | optimized geometry

Values from the calculation:
M_tot (Bohr magnetons per cell): 0.00
Calculated density (g/cm3): 7.1
Raw total energy (eV/cell): -28.4

a = 2.9009 Å, b = 4.2523 Å, c = 8.3792 Å
α = 90.00°, β = 90.00°, γ = 90.00°
With the nearest neighbours (Å) after each atom.
Space group Amm2 (No. 38)
One atom of each set of equivalent atoms:
1 Li 0.0000 0.0000 0.0000  3 Pd 2.60-2.69, 4 H 2.63, 2 Li 2.90
2 Ag 0.5000 0.0000 0.6705  1 H 1.96
3 H 0.5000 0.0000 0.4366  2 Pd 1.75
4 Pd 0.0000 0.0000 0.3206  2 H 1.75

8.
Li3Ag2HPd3 | PBE | optimized geometry

Values from the calculation:
M_tot (Bohr magnetons per cell): 0.00
Calculated density (g/cm3): 7.5
Raw total energy (eV/cell): -32.3

a = 7.0522 Å, b = 7.0522 Å, c = 2.8609 Å
α = 90.00°, β = 90.00°, γ = 120.00°
With the nearest neighbours (Å) after each atom.
Space group P-62m (No. 189)
One atom of each set of equivalent atoms:
1 Li 0.0000 0.3705 0.0000  1 H 2.61, 4 Ag 2.65, 4 Pd 2.69, 2 Li 2.86
2 Ag 0.3333 0.6667 0.5000  6 Li 2.65, 3 Pd 2.79, 2 Ag 2.86
3 H 0.0000 0.0000 0.0000  6 Pd 2.16
4 Pd 0.0000 0.7714 0.5000  2 H 2.16

9.
LiAg2HPd | PBE | optimized geometry

Values from the calculation:
M_tot (Bohr magnetons per cell): 0.00
Energy relative to the lowest polymorph listed for this composition (eV per atom): 0.000
Calculated density (g/cm3): 8.0
Raw total energy (eV/cell): -16.8

a = 4.2872 Å, b = 4.2872 Å, c = 3.7250 Å
α = 90.00°, β = 90.00°, γ = 90.00°
With the nearest neighbours (Å) after each atom.
Space group P4/mmm (No. 123)
One atom of each set of equivalent atoms:
1 Li 0.0000 0.0000 0.0000  8 Ag 2.84, 4 Pd 3.03
2 Ag 0.0000 0.5000 0.5000  2 H 2.14
3 H 0.5000 0.5000 0.5000  2 Pd 1.86
4 Pd 0.5000 0.5000 0.0000  2 H 1.86

10.
Li2AgH6Pt | PBE | optimized geometry

Values from the calculation:
M_tot (Bohr magnetons per cell): 0.00
Calculated density (g/cm3): 5.8
Raw total energy (eV/cell): -35.0

a = 5.0468 Å, b = 5.0738 Å, c = 5.0804 Å
α = 119.94°, β = 119.65°, γ = 90.10°
With the nearest neighbours (Å) after each atom.
Space group P-1 (No. 2)
One atom of each set of equivalent atoms:
1 Li 0.2482 0.2498 0.4960  6 H 2.26-2.52
2 Ag 0.0000 0.5000 0.0000  6 H 1.90-1.98
3 H 0.2106 0.8272 0.0018  1 Pt 1.71
4 H 0.2647 0.7581 0.5269  1 Pt 1.71, 1 Ag 1.90
5 H 0.3253 0.2846 0.9943  1 Pt 1.70
6 Pt 0.5000 0.0000 0.0000  6 H 1.70-1.71

11.
LiAgHPt2 | PBE | optimized geometry

Values from the calculation:
M_tot (Bohr magnetons per cell): 0.00
Energy relative to the lowest polymorph listed for this composition (eV per atom): 0.000
Calculated density (g/cm3): 13.1
Raw total energy (eV/cell): -21.6

a = 3.9284 Å, b = 3.9284 Å, c = 4.1679 Å
α = 90.00°, β = 90.00°, γ = 90.00°
With the nearest neighbours (Å) after each atom.
Space group P4/mmm (No. 123)
One atom of each set of equivalent atoms:
1 Li 0.0000 0.0000 0.0000  2 H 2.08
2 Ag 0.5000 0.5000 0.0000  4 Li 2.78, 8 Pt 2.86
3 H 0.0000 0.0000 0.5000  4 Pt 1.96, 2 Li 2.08
4 Pt 0.0000 0.5000 0.5000  2 H 1.96

12.
Li2AgHPt | PBE | optimized geometry

Values from the calculation:
M_tot (Bohr magnetons per cell): 0.00
Energy relative to the lowest polymorph listed for this composition (eV per atom): 0.138
Calculated density (g/cm3): 8.6
Raw total energy (eV/cell): -17.3

a = 4.0213 Å, b = 4.0213 Å, c = 3.7879 Å
α = 90.00°, β = 90.00°, γ = 90.00°
With the nearest neighbours (Å) after each atom.
Space group P4/mmm (No. 123)
One atom of each set of equivalent atoms:
1 Li 0.0000 0.5000 0.0000  2 H 2.01
2 Ag 0.0000 0.0000 0.5000  2 H 1.89
3 H 0.0000 0.0000 0.0000  2 Ag 1.89, 4 Li 2.01
4 Pt 0.5000 0.5000 0.5000  8 Li 2.76, 4 Ag 2.84